{"formula": "CdCuHg2", "functional": "SCAN", "state": "single point on PBEsol structure", "lattice_angstrom": [[3.415, 0.000, 0.000], [0.000, 3.749, 0.000], [0.000, 0.000, 5.889]], "species": ["Cd", "Cu", "Hg", "Hg"], "fractional_positions": [[0.000, 0.000, 0.000], [0.500, 0.500, 0.237], [0.000, 0.000, 0.465], [0.500, 0.500, 0.744]], "vol_a3_per_atom": 18.847, "magnetic_moment_mub_per_cell": 0.000, "formation_enthalpy_0k_mev_per_atom": 156, "sg": "Pmm2, No. 25"}